Entry 1:
{
  "formula": "Tb2ZnGaPt6",
  "functional": "PBE-GGA",
  "state": "optimized geometry",
  "e_form_kj_per_mol_fu": -761,
  "lattice": [[4.8341, -2.7979, 0.0000], [4.8341, 2.7979, 0.0000], [-3.2025, 0.0000, 7.8466]],
  "species": ["Tb", "Tb", "Zn", "Ga", "Pt", "Pt", "Pt", "Pt", "Pt", "Pt"],
  "frac_coords": [[0.2016, 0.2016, 0.1059], [0.7984, 0.7984, 0.8941], [0.0000, 0.0000, 0.5000], [0.5000, 0.5000, 0.0000], [0.2411, 0.7479, 0.2388], [0.2518, 0.2518, 0.7605], [0.2521, 0.7589, 0.7612], [0.7479, 0.2411, 0.2388], [0.7482, 0.7482, 0.2395], [0.7589, 0.2521, 0.7612]]
}

=====

Entry 2:
{
  "formula": "SrCoRe3",
  "functional": "PBE-GGA",
  "state": "optimized geometry",
  "e_form_kj_per_mol_fu": 1964,
  "lattice": [[4.6938, 0.0000, 0.0000], [0.0000, 4.6938, 0.0000], [0.0000, 0.0000, 4.6938]],
  "species": ["Sr", "Co", "Re", "Re", "Re"],
  "frac_coords": [[0.0000, 0.0000, 0.0000], [0.5000, 0.5000, 0.5000], [0.0000, 0.0000, 0.5000], [0.0000, 0.5000, 0.0000], [0.5000, 0.0000, 0.0000]]
}

=====

Entry 3:
{
  "formula": "CdTc2Ir",
  "functional": "PBE-GGA",
  "state": "optimized geometry",
  "e_form_kj_per_mol_fu": 136,
  "lattice": [[-1.9792, 1.9792, 3.9949], [1.9792, -1.9792, 3.9949], [1.9792, 1.9792, -3.9949]],
  "species": ["Cd", "Tc", "Tc", "Ir"],
  "frac_coords": [[0.0000, 0.0000, 0.0000], [0.5000, 0.5000, 0.0000], [0.7500, 0.2500, 0.5000], [0.2500, 0.7500, 0.5000]]
}

=====

Entry 4:
{
  "formula": "Pr6SiS4",
  "functional": "PBE-GGA",
  "state": "optimized geometry",
  "raw_formation_energy_mev_per_atom": -1599.9,
  "lattice": [[2.0640, -6.7483, 0.0000], [2.0640, 6.7483, 0.0000], [0.0000, 0.0000, 20.7872]],
  "species": ["Pr", "Pr", "Pr", "Pr", "Pr", "Pr", "Pr", "Pr", "Pr", "Pr", "Pr", "Pr", "Si", "Si", "S", "S", "S", "S", "S", "S", "S", "S"],
  "frac_coords": [[0.0000, 0.0000, 0.0000], [0.0000, 0.0000, 0.5000], [0.1747, 0.8253, 0.7500], [0.2737, 0.7263, 0.0839], [0.2737, 0.7263, 0.4161], [0.4491, 0.5509, 0.6648], [0.4491, 0.5509, 0.8352], [0.5509, 0.4491, 0.1648], [0.5509, 0.4491, 0.3352], [0.7263, 0.2737, 0.5839], [0.7263, 0.2737, 0.9161], [0.8253, 0.1747, 0.2500], [0.1653, 0.8347, 0.2500], [0.8347, 0.1653, 0.7500], [0.0902, 0.9098, 0.6256], [0.0902, 0.9098, 0.8744], [0.3626, 0.6374, 0.5409], [0.3626, 0.6374, 0.9591], [0.6374, 0.3626, 0.0409], [0.6374, 0.3626, 0.4591], [0.9098, 0.0902, 0.1256], [0.9098, 0.0902, 0.3744]]
}

=====

Number 1: ρ 12.7 g/cm3. Number 2: ρ 11.3 g/cm3. Number 3: ρ 13.3 g/cm3. Number 4: ρ 5.7 g/cm3.